Entry 1:
This record from Alexandria describes Rh3Pb after structural relaxation. The functional is PBE.

Summary:
Raw total energy: -0.2249 Ha/atom
DFT formation energy: 0.321 eV per atom

a = 5.2175 Å, b = 5.2175 Å, c = 5.2175 Å
α = 116.52°, β = 116.52°, γ = 116.52°
Atoms (fractional coordinates):
1 Rh 0.0000 0.5000 0.5000
2 Rh 0.5000 0.0000 0.5000
3 Rh 0.5000 0.5000 0.0000
4 Pb 0.0000 0.0000 0.0000

Entry 2:
This record from Alexandria describes Rh4Pb after structural relaxation. The functional is PBE.

Summary:
Raw total energy: -0.1766 Ha/atom
DFT formation energy: 1.819 eV per atom
Relative energy among the computed polymorphs: 1762 meV/atom

a = 4.9136 Å, b = 4.9136 Å, c = 4.9136 Å
α = 90.00°, β = 90.00°, γ = 90.00°
Atoms (fractional coordinates):
1 Rh 0.5000 0.0000 0.5000
2 Rh 0.0000 0.5000 0.5000
3 Rh 0.0000 0.0000 0.0000
4 Rh 0.5000 0.5000 0.0000
5 Pb 0.5000 0.5000 0.5000

Entry 3:
This record from Alexandria describes RhPb after structural relaxation. The functional is PBE.

Summary:
Raw total energy: -0.1997 Ha/atom
DFT formation energy: 0.096 eV per atom

a = 3.3765 Å, b = 3.3765 Å, c = 3.3765 Å
α = 90.00°, β = 90.00°, γ = 90.00°
Atoms (fractional coordinates):
1 Rh 0.5000 0.5000 0.5000
2 Pb 0.0000 0.0000 0.0000

Entry 4:
This record from Alexandria describes RhPb after structural relaxation. The functional is PBE.

Summary:
Raw total energy: -0.2013 Ha/atom
DFT formation energy: 0.051 eV per atom

a = 5.4525 Å, b = 8.7168 Å, c = 7.6133 Å
α = 90.00°, β = 90.00°, γ = 90.00°
Atoms (fractional coordinates):
1 Pb 0.7506 0.1459 0.0808
2 Pb 0.2629 0.0869 0.4030
3 Pb 0.7494 0.8541 0.5808
4 Pb 0.2506 0.3541 0.9192
5 Pb 0.2494 0.6459 0.4192
6 Pb 0.7371 0.5869 0.0970
7 Pb 0.2371 0.9131 0.9030
8 Pb 0.7629 0.4131 0.5970
9 Rh 0.9764 0.8687 0.2614
10 Rh 0.2515 0.3603 0.5666
11 Rh 0.7485 0.8603 0.9334
12 Rh 0.7515 0.1397 0.4334
13 Rh 0.5236 0.1313 0.7614
14 Rh 0.4764 0.6313 0.7386
15 Rh 0.2485 0.6397 0.0666
16 Rh 0.0236 0.3687 0.2386

Entry 5:
This record from Alexandria describes RhPb after structural relaxation. The functional is PBE.

Summary:
Raw total energy: -0.1907 Ha/atom
DFT formation energy: 0.341 eV per atom

a = 10.3243 Å, b = 10.3243 Å, c = 10.3243 Å
α = 17.60°, β = 17.60°, γ = 17.60°
Atoms (fractional coordinates):
1 Rh 0.3661 0.3661 0.3661
2 Rh 0.6339 0.6339 0.6339
3 Pb 0.1077 0.1077 0.1077
4 Pb 0.8923 0.8923 0.8923

Entry 6:
This record from Alexandria describes Rh2Pb after structural relaxation. The functional is PBE.

Summary:
Raw total energy: -0.2030 Ha/atom
DFT formation energy: 0.613 eV per atom

a = 6.3268 Å, b = 6.3268 Å, c = 6.3268 Å
α = 90.00°, β = 90.00°, γ = 90.00°
Atoms (fractional coordinates):
1 Pb 0.5000 0.0000 0.5000
2 Pb 0.5000 0.5000 0.0000
3 Pb 0.0000 0.0000 0.0000
4 Pb 0.0000 0.5000 0.5000
5 Rh 0.8854 0.1146 0.3854
6 Rh 0.3854 0.3854 0.6146
7 Rh 0.8854 0.3854 0.8854
8 Rh 0.3854 0.1146 0.1146
9 Rh 0.1146 0.8854 0.6146
10 Rh 0.1146 0.6146 0.1146
11 Rh 0.6146 0.8854 0.8854
12 Rh 0.6146 0.6146 0.3854

Entry 7:
This record from Alexandria describes Rh4Pb5 after structural relaxation. The functional is PBE.

Summary:
Raw total energy: -0.1989 Ha/atom
DFT formation energy: -0.084 eV per atom
Relative energy among the computed polymorphs: 0 meV/atom

a = 14.3936 Å, b = 13.8128 Å, c = 5.7713 Å
α = 83.90°, β = 72.60°, γ = 23.50°
Atoms (fractional coordinates):
1 Rh 0.0839 0.0844 0.9161
2 Rh 0.7500 0.7500 0.7499
3 Rh 0.9185 0.9187 0.5812
4 Rh 0.2500 0.2499 0.2500
5 Rh 0.5813 0.5814 0.9185
6 Rh 0.9161 0.9155 0.0838
7 Rh 0.4187 0.4185 0.0814
8 Rh 0.0815 0.0812 0.4187
9 Pb 0.4114 0.4112 0.5885
10 Pb 0.2858 0.2857 0.7141
11 Pb 0.7142 0.7141 0.2858
12 Pb 0.1638 0.8362 0.1637
13 Pb 0.8362 0.1637 0.8362
14 Pb 0.5886 0.5887 0.4114
15 Pb 0.9984 0.3337 0.6663
16 Pb 0.3337 0.9983 0.0016
17 Pb 0.0016 0.6662 0.3336
18 Pb 0.6663 0.0016 0.9983

Entry 8:
This record from Alexandria describes Rh3Pb5 after structural relaxation. The functional is PBE.

Summary:
Raw total energy: -0.1839 Ha/atom
DFT formation energy: 0.071 eV per atom
Relative energy among the computed polymorphs: 77 meV/atom

a = 8.2353 Å, b = 8.2353 Å, c = 6.1553 Å
α = 90.00°, β = 90.00°, γ = 120.00°
Atoms (fractional coordinates):
1 Pb 0.7540 0.7540 0.2500
2 Pb 0.0000 0.2460 0.2500
3 Pb 0.7540 0.0000 0.7500
4 Pb 0.2460 0.0000 0.2500
5 Pb 0.3333 0.6667 0.0000
6 Pb 0.3333 0.6667 0.5000
7 Pb 0.2460 0.2460 0.7500
8 Pb 0.6667 0.3333 0.0000
9 Pb 0.0000 0.7540 0.7500
10 Pb 0.6667 0.3333 0.5000
11 Rh 0.4140 0.0000 0.7500
12 Rh 0.0000 0.5860 0.2500
13 Rh 0.5860 0.5860 0.7500
14 Rh 0.4140 0.4140 0.2500
15 Rh 0.5860 0.0000 0.2500
16 Rh 0.0000 0.4140 0.7500